# PBE Na2TlHPd, optimized geometry
# ΔE to the lowest computed polymorph	0	kJ/mol of formula units
# electronic total energy	-2.8441	eV/atom
data_Na2TlHPd
_space_group_name_H-M_alt 'P 4/m m m'
_space_group_IT_number 123
_space_group_name_Hall '-P 4 2'
_cell_length_a 5.147
_cell_length_b 5.147
_cell_length_c 3.550
_cell_angle_alpha 90.00
_cell_angle_beta 90.00
_cell_angle_gamma 90.00
loop_
_atom_site_label
_atom_site_type_symbol
_atom_site_fract_x
_atom_site_fract_y
_atom_site_fract_z
Na1 Na 0.000 0.500 0.000
Tl1 Tl 0.000 0.000 0.500
H1 H 0.500 0.500 0.000
Pd1 Pd 0.500 0.500 0.500

=====

# PBE Na2Tl2HPd4, optimized geometry
# electronic total energy	-3.7015	eV/atom
data_Na2Tl2HPd4
_space_group_name_H-M_alt 'I 4/m m m'
_space_group_IT_number 139
_space_group_name_Hall '-I 4 2'
_cell_length_a 6.019
_cell_length_b 6.019
_cell_length_c 8.237
_cell_angle_alpha 90.00
_cell_angle_beta 90.00
_cell_angle_gamma 90.00
loop_
_atom_site_label
_atom_site_type_symbol
_atom_site_fract_x
_atom_site_fract_y
_atom_site_fract_z
Na1 Na 0.000 0.000 0.224
Tl1 Tl 0.000 0.500 0.250
H1 H 0.000 0.000 0.500
Pd1 Pd 0.237 0.237 0.500

=====

# PBE NaTl2HPd, optimized geometry
# ΔE to the lowest computed polymorph	14	kJ/mol of formula units
# electronic total energy	-2.9075	eV/atom
data_NaTl2HPd
_space_group_name_H-M_alt 'P 4/m m m'
_space_group_IT_number 123
_space_group_name_Hall '-P 4 2'
_cell_length_a 5.711
_cell_length_b 5.711
_cell_length_c 3.399
_cell_angle_alpha 90.00
_cell_angle_beta 90.00
_cell_angle_gamma 90.00
loop_
_atom_site_label
_atom_site_type_symbol
_atom_site_fract_x
_atom_site_fract_y
_atom_site_fract_z
Na1 Na 0.000 0.000 0.000
Tl1 Tl 0.000 0.500 0.500
H1 H 0.500 0.500 0.000
Pd1 Pd 0.500 0.500 0.500

=====

# PBE Na2VHPd, optimized geometry
# electronic total energy	-3.2234	eV/atom
data_Na2VHPd
_space_group_name_H-M_alt 'P 4/m m m'
_space_group_IT_number 123
_space_group_name_Hall '-P 4 2'
_cell_length_a 5.634
_cell_length_b 5.634
_cell_length_c 3.184
_cell_angle_alpha 90.00
_cell_angle_beta 90.00
_cell_angle_gamma 90.00
loop_
_atom_site_label
_atom_site_type_symbol
_atom_site_fract_x
_atom_site_fract_y
_atom_site_fract_z
Na1 Na 0.000 0.500 0.000
V1 V 0.000 0.000 0.500
H1 H 0.500 0.500 0.500
Pd1 Pd 0.500 0.500 0.000

=====

# PBE NaY2HPd, optimized geometry
# ΔE to the lowest computed polymorph	32	kJ/mol of formula units
# electronic total energy	-4.7581	eV/atom
data_NaY2HPd
_space_group_name_H-M_alt 'P 4/m m m'
_space_group_IT_number 123
_space_group_name_Hall '-P 4 2'
_cell_length_a 5.126
_cell_length_b 5.126
_cell_length_c 3.846
_cell_angle_alpha 90.00
_cell_angle_beta 90.00
_cell_angle_gamma 90.00
loop_
_atom_site_label
_atom_site_type_symbol
_atom_site_fract_x
_atom_site_fract_y
_atom_site_fract_z
Na1 Na 0.000 0.000 0.000
Y1 Y 0.000 0.500 0.500
H1 H 0.500 0.500 0.500
Pd1 Pd 0.500 0.500 0.000

=====

# PBE NaY2HPd, optimized geometry
# ΔE to the lowest computed polymorph	0	kJ/mol of formula units
# electronic total energy	-4.8247	eV/atom
data_NaY2HPd
_space_group_name_H-M_alt 'P 4/m m m'
_space_group_IT_number 123
_space_group_name_Hall '-P 4 2'
_cell_length_a 4.871
_cell_length_b 4.871
_cell_length_c 4.151
_cell_angle_alpha 90.00
_cell_angle_beta 90.00
_cell_angle_gamma 90.00
loop_
_atom_site_label
_atom_site_type_symbol
_atom_site_fract_x
_atom_site_fract_y
_atom_site_fract_z
Na1 Na 0.000 0.000 0.000
Y1 Y 0.000 0.500 0.500
H1 H 0.000 0.000 0.500
Pd1 Pd 0.500 0.500 0.000

=====

# PBE Na2ZnH6Pd, optimized geometry
# electronic total energy	-3.0716	eV/atom
data_Na2ZnH6Pd
_space_group_name_H-M_alt 'I 4/m m m'
_space_group_IT_number 139
_space_group_name_Hall '-I 4 2'
_cell_length_a 5.147
_cell_length_b 5.147
_cell_length_c 7.254
_cell_angle_alpha 90.00
_cell_angle_beta 90.00
_cell_angle_gamma 90.00
loop_
_atom_site_label
_atom_site_type_symbol
_atom_site_fract_x
_atom_site_fract_y
_atom_site_fract_z
Na1 Na 0.000 0.500 0.250
Zn1 Zn 0.000 0.000 0.000
H1 H 0.000 0.000 0.257
H2 H 0.244 0.244 0.500
Pd1 Pd 0.000 0.000 0.500

=====

# PBE NaZrH2Pd, optimized geometry
# ΔE to the lowest computed polymorph	31	kJ/mol of formula units
# electronic total energy	-3.8171	eV/atom
data_NaZrH2Pd
_space_group_name_H-M_alt 'P 4/m m m'
_space_group_IT_number 123
_space_group_name_Hall '-P 4 2'
_cell_length_a 3.898
_cell_length_b 3.898
_cell_length_c 5.033
_cell_angle_alpha 90.00
_cell_angle_beta 90.00
_cell_angle_gamma 90.00
loop_
_atom_site_label
_atom_site_type_symbol
_atom_site_fract_x
_atom_site_fract_y
_atom_site_fract_z
Na1 Na 0.000 0.000 0.000
Zr1 Zr 0.500 0.500 0.500
H1 H 0.000 0.500 0.000
Pd1 Pd 0.000 0.000 0.500

=====

# PBE NaZrH2Pd, optimized geometry
# ΔE to the lowest computed polymorph	0	kJ/mol of formula units
# electronic total energy	-3.8817	eV/atom
data_NaZrH2Pd
_space_group_name_H-M_alt 'P 4/m m m'
_space_group_IT_number 123
_space_group_name_Hall '-P 4 2'
_cell_length_a 3.787
_cell_length_b 3.787
_cell_length_c 5.838
_cell_angle_alpha 90.00
_cell_angle_beta 90.00
_cell_angle_gamma 90.00
loop_
_atom_site_label
_atom_site_type_symbol
_atom_site_fract_x
_atom_site_fract_y
_atom_site_fract_z
Na1 Na 0.000 0.000 0.000
Zr1 Zr 0.000 0.000 0.500
H1 H 0.000 0.500 0.500
Pd1 Pd 0.500 0.500 0.000

=====

# PBE NaPmH, optimized geometry
# ΔE to the lowest computed polymorph	0	kJ/mol of formula units
# electronic total energy	-3.3177	eV/atom
data_NaPmH
_space_group_name_H-M_alt 'C 1 2/m 1'
_space_group_IT_number 12
_cell_length_a 6.542
_cell_length_b 3.779
_cell_length_c 12.165
_cell_angle_alpha 90.00
_cell_angle_beta 90.03
_cell_angle_gamma 90.00
loop_
_space_group_symop_operation_xyz
'x,y,z'
'-x,-y,-z'
'-x,y,-z'
'x,-y,z'
'x+1/2,y+1/2,z'
'-x+1/2,-y+1/2,-z'
'-x+1/2,y+1/2,-z'
'x+1/2,-y+1/2,z'
loop_
_atom_site_label
_atom_site_type_symbol
_atom_site_fract_x
_atom_site_fract_y
_atom_site_fract_z
Na1 Na 0.166 0.000 0.129
Pm1 Pm 0.167 0.000 0.627
H1 H 0.166 0.000 0.322

=====

# PBE Na2PmH6, optimized geometry
# electronic total energy	-2.7397	eV/atom
data_Na2PmH6
_space_group_name_H-M_alt 'F m -3 m'
_space_group_IT_number 225
_space_group_name_Hall '-F 4 2 3'
_cell_length_a 8.141
_cell_length_b 8.141
_cell_length_c 8.141
_cell_angle_alpha 90.00
_cell_angle_beta 90.00
_cell_angle_gamma 90.00
loop_
_atom_site_label
_atom_site_type_symbol
_atom_site_fract_x
_atom_site_fract_y
_atom_site_fract_z
Na1 Na 0.250 0.250 0.250
Pm1 Pm 0.000 0.000 0.000
H1 H 0.000 0.000 0.271

=====

# PBE Na5Pm3H12, optimized geometry
# electronic total energy	-3.3431	eV/atom
data_Na5Pm3H12
_space_group_name_H-M_alt 'I a -3 d'
_space_group_IT_number 230
_space_group_name_Hall '-I 4bd 2c 3'
_cell_length_a 13.091
_cell_length_b 13.091
_cell_length_c 13.091
_cell_angle_alpha 90.00
_cell_angle_beta 90.00
_cell_angle_gamma 90.00
loop_
_atom_site_label
_atom_site_type_symbol
_atom_site_fract_x
_atom_site_fract_y
_atom_site_fract_z
Na1 Na 0.000 0.000 0.000
Na2 Na 0.000 0.250 0.375
Pm1 Pm 0.000 0.250 0.125
H1 H 0.014 0.073 0.658

=====

In the order shown, the computed Fermi-level density of states values come out to 0.2779 0.1483 0.4946 1.4099 0.9621 0.8324 0.1411 0.5183 0.5106 0.4013 0.4291 0.3025 states/eV per atom.
In the order shown, the computed ρ values come out to 6.3 9.8 8.1 3.4 5.1 5.2 3.9 4.8 4.4 3.7 2.4 3.3 g/cm3.
In the order shown, the computed M_tot values come out to 0.00 0.00 0.00 0.26 0.00 0.28 0.00 0.00 0.84 0.00 0.00 0.00 Bohr magnetons per cell.